[1]
This record from Alexandria describes a relaxed Na3SrHg crystal. The functional is PBE.

```
10
Lattice="9.9646 -2.2495 0.0000 9.9646 2.2495 0.0000 -2.8565 0.0000 8.0728" Properties=species:S:1:pos:R:3 pbc="T T T"
Na 1.9178 0.0000 1.2737
Na 1.9952 0.0000 6.7340
Na 4.8471 0.0000 4.0525
Na 12.2255 0.0000 4.0203
Na 15.0774 0.0000 1.3388
Na 15.1549 0.0000 6.7991
Sr 8.5410 0.0000 1.9863
Sr 8.5316 0.0000 6.0865
Hg 0.1693 0.0000 4.0557
Hg 16.9033 0.0000 4.0171
```

E_form ... -0.16 eV/atom
DOS at the Fermi energy ... 4.7 states/eV per cell
Space group ... C2/m
Offset from the most stable computed form ... 0 meV per atom
Size of the total moment ... 0.000 μB/cell


[2]
This record from Alexandria describes a relaxed AcHgAsPd crystal. The functional is PBE.

```
4
Lattice="0.0000 3.6498 3.6498 3.6498 0.0000 3.6498 3.6498 3.6498 0.0000" Properties=species:S:1:pos:R:3 pbc="T T T"
Ac 0.0000 0.0000 0.0000
Hg 3.6498 3.6498 3.6498
As 5.4748 5.4748 5.4748
Pd 1.8249 1.8249 1.8249
```

E_form ... -0.48 eV/atom
DOS at the Fermi energy ... 2.9 states/eV per cell
Space group ... F-43m
Size of the total moment ... 0.000 μB/cell


[3]
This record from Alexandria describes a relaxed MgZr3Nb crystal. The functional is PBE.

```
5
Lattice="5.0017 0.0000 0.0000 0.0000 5.0017 0.0000 0.0000 0.0000 5.0017" Properties=species:S:1:pos:R:3 pbc="T T T"
Mg 0.0000 0.0000 0.0000
Zr 0.0000 0.0000 2.5008
Zr 0.0000 2.5008 0.0000
Zr 2.5008 0.0000 0.0000
Nb 2.5008 2.5008 2.5008
```

E_form ... 1.38 eV/atom
DOS at the Fermi energy ... 8.9 states/eV per cell
Space group ... Pm-3m
Offset from the most stable computed form ... 597 meV per atom
Size of the total moment ... 2.395 μB/cell